Record 1
DFT (PBEsol) results for a relaxed structure of NaCa2H2. Values from VASP.

DOS at the Fermi energy	0.56	states/eV/atom
total moment	0.00	μB per atom
calculated total energy	-2.77	eV per atom
calculated volume	22.40	Å³/atom

Cell and atoms, written as Quantum ESPRESSO input:
```
&SYSTEM
  ibrav = 0, nat = 5, ntyp = 3
/
ATOMIC_SPECIES
Na 22.99 Na.upf
Ca 40.08 Ca.upf
H 1.01 H.upf
ATOMIC_POSITIONS angstrom
Na 0.000 0.000 0.000
Ca 0.000 0.000 5.004
Ca 0.000 0.000 10.256
H 1.916 0.000 3.815
H 0.000 1.916 3.815
CELL_PARAMETERS angstrom
-1.916 1.916 7.630
1.916 -1.916 7.630
1.916 1.916 -7.630
```

---

Record 2
DFT (PBEsol) results for a relaxed structure of NaCaH3. Values from VASP.

ΔE to the lowest computed polymorph	0	meV/atom
DOS at the Fermi energy	0.00	states/eV/atom
total moment	0.00	μB per atom
calculated total energy	-3.04	eV per atom
calculated volume	13.78	Å³/atom

Cell and atoms, written as Quantum ESPRESSO input:
```
&SYSTEM
  ibrav = 0, nat = 10, ntyp = 3
/
ATOMIC_SPECIES
Na 22.99 Na.upf
Ca 40.08 Ca.upf
H 1.01 H.upf
ATOMIC_POSITIONS angstrom
Na -0.043 1.043 1.457
Na 1.790 2.366 4.367
Ca 0.017 -0.689 4.140
Ca 1.730 4.098 1.685
H -0.033 5.506 1.851
H -0.030 2.968 2.642
H 0.028 1.309 5.327
H 1.719 2.100 0.497
H 1.777 0.442 3.183
H 1.779 -2.096 3.974
CELL_PARAMETERS angstrom
3.527 0.000 0.000
-0.045 6.708 0.000
-1.735 -3.298 5.825
```